Density functional theory data (GGA-PBEsol) for a geometry-optimized CuSn3P structure.

Lattice parameters (Å, degrees): 5.030 5.030 5.030 90.00 90.00 90.00
Positions (direct):
1 P 0.000 0.000 0.000
2 Cu 0.500 0.500 0.500
3 Sn 0.000 0.500 0.000
4 Sn 0.500 0.000 0.000
5 Sn 0.000 0.000 0.500

Values from the calculation:
For the formation energy, the calculation gives 769 meV per atom. As for the space group: No. 221.